<i>
Below is LaIrN2F after structural relaxation, with properties calculated at the PBE-GGA level.

Values from the calculation:
Magnetic moment   0.00 μB/cell

a = 3.9275 Å, b = 3.9275 Å, c = 4.4630 Å
α = 90.00°, β = 90.00°, γ = 90.00°
Last column: nearest neighbours and their distance in Å.
Sites, in units of the cell vectors:
N  0.0000  0.5000  0.0000  2 Ir 1.96
N  0.5000  0.0000  0.0000  2 Ir 1.96
F  0.0000  0.0000  0.5000  2 Ir 2.23
Ir  0.0000  0.0000  0.0000  4 N 1.96
La  0.5000  0.5000  0.5000  4 F 2.78, 8 N 2.97

<ii>
Below is LaIrN2F after structural relaxation, with properties calculated at the PBE-GGA level.

Values from the calculation:
Magnetic moment   2.36 μB/cell

a = 4.5407 Å, b = 4.5407 Å, c = 4.4085 Å
α = 90.00°, β = 90.00°, γ = 90.00°
Last column: nearest neighbours and their distance in Å.
Sites, in units of the cell vectors:
N  0.0000  0.5000  0.0000  2 La 2.27
N  0.5000  0.0000  0.0000  2 La 2.27
F  0.0000  0.0000  0.5000  2 La 2.20
Ir  0.5000  0.5000  0.5000  8 N 3.16, 4 F 3.21
La  0.0000  0.0000  0.0000  2 F 2.20, 4 N 2.27

Relative energy of each structure, in meV per atom: <i> 0; <ii> 1585.

<i>
Below is Li2IrF6 after structural relaxation, with properties calculated at the PBE-GGA level.

Values from the calculation:
Magnetic moment   2.03 μB/cell

a = 5.3856 Å, b = 4.7388 Å, c = 8.5916 Å
α = 90.00°, β = 90.00°, γ = 90.00°
Last column: nearest neighbours and their distance in Å.
Sites, in units of the cell vectors:
Li  0.9999  0.4998  0.8140  6 F 2.01-2.15
Li  0.5001  0.9998  0.6860  6 F 2.01-2.15
Li  0.4999  0.0002  0.3140  6 F 2.01-2.15
Li  0.0001  0.5002  0.1860  6 F 2.01-2.15
Ir  0.5000  0.5000  0.0000  6 F 1.96-1.98
Ir  0.0000  0.0000  0.5000  6 F 1.96-1.98
F  0.8429  0.7711  0.3368  1 Ir 1.96, 2 Li 2.01-2.15
F  0.8429  0.7709  0.6631  1 Ir 1.96, 2 Li 2.01-2.15
F  0.8233  0.7004  0.0000  1 Ir 1.98, 2 Li 2.09
F  0.6767  0.2004  0.5000  1 Ir 1.98, 2 Li 2.09
F  0.6571  0.2709  0.8369  1 Ir 1.96, 2 Li 2.01-2.15
F  0.6571  0.2711  0.1632  1 Ir 1.96, 2 Li 2.01-2.15
F  0.1571  0.2289  0.6632  1 Ir 1.96, 2 Li 2.01-2.15
F  0.1571  0.2291  0.3369  1 Ir 1.96, 2 Li 2.01-2.15
F  0.1767  0.2996  0.0000  1 Ir 1.98, 2 Li 2.09
F  0.3233  0.7996  0.5000  1 Ir 1.98, 2 Li 2.09
F  0.3429  0.7291  0.1631  1 Ir 1.96, 2 Li 2.01-2.15
F  0.3429  0.7289  0.8368  1 Ir 1.96, 2 Li 2.01-2.15

<ii>
Below is Li2IrF6 after structural relaxation, with properties calculated at the PBE-GGA level.

Values from the calculation:
Magnetic moment   2.03 μB/cell

a = 4.7137 Å, b = 4.7137 Å, c = 9.3395 Å
α = 90.00°, β = 90.00°, γ = 90.00°
Last column: nearest neighbours and their distance in Å.
Sites, in units of the cell vectors:
Li  0.5000  0.5000  0.3341  6 F 2.04-2.08
Li  0.5000  0.5000  0.6659  6 F 2.04-2.08
Li  0.0000  0.0000  0.1659  6 F 2.04-2.08
Li  0.0000  0.0000  0.8341  6 F 2.04-2.08
Ir  0.5000  0.5000  0.0000  6 F 1.95-1.98
Ir  0.0000  0.0000  0.5000  6 F 1.95-1.98
F  0.6938  0.6938  0.1609  1 Ir 1.98, 2 Li 2.04-2.07
F  0.6938  0.6938  0.8391  1 Ir 1.98, 2 Li 2.04-2.07
F  0.7072  0.7072  0.5000  1 Ir 1.95, 2 Li 2.08
F  0.7928  0.2072  0.0000  1 Ir 1.95, 2 Li 2.08
F  0.8062  0.1938  0.3391  1 Ir 1.98, 2 Li 2.04-2.07
F  0.8062  0.1938  0.6609  1 Ir 1.98, 2 Li 2.04-2.07
F  0.1938  0.8062  0.3391  1 Ir 1.98, 2 Li 2.04-2.07
F  0.1938  0.8062  0.6609  1 Ir 1.98, 2 Li 2.04-2.07
F  0.2072  0.7928  0.0000  1 Ir 1.95, 2 Li 2.08
F  0.2928  0.2928  0.5000  1 Ir 1.95, 2 Li 2.08
F  0.3062  0.3062  0.1609  1 Ir 1.98, 2 Li 2.04-2.07
F  0.3062  0.3062  0.8391  1 Ir 1.98, 2 Li 2.04-2.07

Relative energy of each structure, in meV per atom: <i> 18; <ii> 0.

<i>
Below is Li2IrOF after structural relaxation, with properties calculated at the PBE-GGA level.

Values from the calculation:
Magnetic moment   1.88 μB/cell

a = 4.9031 Å, b = 3.8490 Å, c = 4.9031 Å
α = 90.00°, β = 90.00°, γ = 90.00°
Last column: nearest neighbours and their distance in Å.
Sites, in units of the cell vectors:
Ir  0.0000  0.0000  0.0000  2 F 1.92
Li  0.0000  0.0000  0.5000  2 Ir 2.45
Li  0.5000  0.0000  0.0000  2 Ir 2.45
O  0.5000  0.5000  0.5000  8 Li 3.12, 4 F 3.47
F  0.0000  0.5000  0.0000  2 Ir 1.92

<ii>
Below is Li2IrOF after structural relaxation, with properties calculated at the PBE-GGA level.

Values from the calculation:
Magnetic moment   2.13 μB/cell

a = 3.4484 Å, b = 5.8281 Å, c = 3.4484 Å
α = 90.00°, β = 90.00°, γ = 90.00°
Last column: nearest neighbours and their distance in Å.
Sites, in units of the cell vectors:
Ir  0.5000  0.5000  0.5000  4 F 2.44
Li  0.0000  0.0000  0.5000  2 O 1.72
Li  0.5000  0.0000  0.0000  2 O 1.72
O  0.0000  0.0000  0.0000  4 Li 1.72
F  0.0000  0.5000  0.0000  4 Ir 2.44

Relative energy of each structure, in meV per atom: <i> 358; <ii> 0.

<i>
Below is LiIrOF2 after structural relaxation, with properties calculated at the PBE-GGA level.

Values from the calculation:
Magnetic moment   2.81 μB/cell

a = 3.4242 Å, b = 3.4242 Å, c = 4.1862 Å
α = 90.00°, β = 90.00°, γ = 90.00°
Last column: nearest neighbours and their distance in Å.
Sites, in units of the cell vectors:
Ir  0.5000  0.5000  0.5000  4 O 2.42, 8 F 2.70
Li  0.0000  0.0000  0.0000  4 F 1.71
O  0.0000  0.0000  0.5000  2 Li 2.09
F  0.0000  0.5000  0.0000  2 Li 1.71
F  0.5000  0.0000  0.0000  2 Li 1.71

<ii>
Below is LiIrOF2 after structural relaxation, with properties calculated at the PBE-GGA level.

Values from the calculation:
Magnetic moment   0.00 μB/cell

a = 4.4159 Å, b = 4.4159 Å, c = 3.7385 Å
α = 90.00°, β = 90.00°, γ = 90.00°
Last column: nearest neighbours and their distance in Å.
Sites, in units of the cell vectors:
Ir  0.0000  0.0000  0.0000  2 O 1.87
Li  0.5000  0.5000  0.5000  8 F 2.89, 4 O 3.12
O  0.0000  0.0000  0.5000  2 Ir 1.87
F  0.0000  0.5000  0.0000  2 Ir 2.21
F  0.5000  0.0000  0.0000  2 Ir 2.21

Relative energy of each structure, in meV per atom: <i> 574; <ii> 0.